[1]
PmDyBe | PBE | optimized geometry

Summary:
Calculated formation energy (eV per atom): 0.114
Space-group type: I4mm
N(E_F) (states/eV per atom): 1.066
Raw total energy (eV per atom): -4.245

Structure (CIF):
```
data_PmDyBe
_symmetry_space_group_name_H-M 'P 1'
_symmetry_Int_Tables_number 1
_symmetry_space_group_name_Hall 'P 1'
_cell_length_a 3.5180
_cell_length_b 3.5180
_cell_length_c 12.0952
_cell_angle_alpha 90.00
_cell_angle_beta 90.00
_cell_angle_gamma 90.00
loop_
_atom_site_label
_atom_site_type_symbol
_atom_site_fract_x
_atom_site_fract_y
_atom_site_fract_z
_atom_site_occupancy
Pm1 Pm 0.0000 0.0000 0.0000 1
Pm2 Pm 0.5000 0.5000 0.5000 1
Dy1 Dy 0.0000 0.0000 0.2710 1
Dy2 Dy 0.5000 0.5000 0.7710 1
Be1 Be 0.0000 0.0000 0.6437 1
Be2 Be 0.5000 0.5000 0.1437 1
```

---

[2]
YMo2Os | PBE | optimized geometry

Summary:
Calculated formation energy (eV per atom): 0.538
Space-group type: Cmmm
ΔE to the lowest computed polymorph (meV/atom): 356
N(E_F) (states/eV per atom): 1.195
Raw total energy (eV per atom): -9.301

Structure (CIF):
```
data_YMo2Os
_symmetry_space_group_name_H-M 'P 1'
_symmetry_Int_Tables_number 1
_symmetry_space_group_name_Hall 'P 1'
_cell_length_a 5.3631
_cell_length_b 9.3667
_cell_length_c 2.8196
_cell_angle_alpha 90.00
_cell_angle_beta 90.00
_cell_angle_gamma 90.00
loop_
_atom_site_label
_atom_site_type_symbol
_atom_site_fract_x
_atom_site_fract_y
_atom_site_fract_z
_atom_site_occupancy
Y1 Y 0.0000 0.0000 0.0000 1
Y2 Y 0.5000 0.5000 0.0000 1
Mo1 Mo 0.2500 0.2500 0.5000 1
Mo2 Mo 0.2500 0.7500 0.5000 1
Mo3 Mo 0.7500 0.2500 0.5000 1
Mo4 Mo 0.7500 0.7500 0.5000 1
Os1 Os 0.0000 0.5000 0.0000 1
Os2 Os 0.5000 0.0000 0.0000 1
```

---

[3]
Sc12Fe3Os5 | PBE | optimized geometry

Summary:
Calculated formation energy (eV per atom): 0.570
Space-group type: Ia-3d
N(E_F) (states/eV per atom): 1.358
Raw total energy (eV per atom): -7.306

Structure (CIF):
```
data_Sc12Fe3Os5
_symmetry_space_group_name_H-M 'P 1'
_symmetry_Int_Tables_number 1
_symmetry_space_group_name_Hall 'P 1'
_cell_length_a 13.4416
_cell_length_b 13.4416
_cell_length_c 13.4416
_cell_angle_alpha 109.47
_cell_angle_beta 109.47
_cell_angle_gamma 109.47
loop_
_atom_site_label
_atom_site_type_symbol
_atom_site_fract_x
_atom_site_fract_y
_atom_site_fract_z
_atom_site_occupancy
Sc1 Sc 0.0441 0.2184 0.1199 1
Sc2 Sc 0.0441 0.3258 0.9242 1
Sc3 Sc 0.0758 0.6199 0.4016 1
Sc4 Sc 0.0758 0.9559 0.6742 1
Sc5 Sc 0.0984 0.7184 0.6742 1
Sc6 Sc 0.0984 0.8801 0.4242 1
Sc7 Sc 0.1199 0.0441 0.2184 1
Sc8 Sc 0.1199 0.5758 0.9016 1
Sc9 Sc 0.1742 0.2184 0.5984 1
Sc10 Sc 0.1742 0.4559 0.5758 1
Sc11 Sc 0.2184 0.1199 0.0441 1
Sc12 Sc 0.2184 0.5984 0.1742 1
Sc13 Sc 0.2816 0.3258 0.9016 1
Sc14 Sc 0.2816 0.4559 0.3801 1
Sc15 Sc 0.3258 0.9016 0.2816 1
Sc16 Sc 0.3258 0.9242 0.0441 1
Sc17 Sc 0.3801 0.2816 0.4559 1
Sc18 Sc 0.3801 0.5984 0.9242 1
Sc19 Sc 0.4016 0.0758 0.6199 1
Sc20 Sc 0.4016 0.8258 0.7816 1
Sc21 Sc 0.4242 0.0984 0.8801 1
Sc22 Sc 0.4242 0.8258 0.5441 1
Sc23 Sc 0.4559 0.3801 0.2816 1
Sc24 Sc 0.4559 0.5758 0.1742 1
Sc25 Sc 0.5441 0.4242 0.8258 1
Sc26 Sc 0.5441 0.6199 0.7184 1
Sc27 Sc 0.5758 0.1742 0.4559 1
Sc28 Sc 0.5758 0.9016 0.1199 1
Sc29 Sc 0.5984 0.1742 0.2184 1
Sc30 Sc 0.5984 0.9242 0.3801 1
Sc31 Sc 0.6199 0.4016 0.0758 1
Sc32 Sc 0.6199 0.7184 0.5441 1
Sc33 Sc 0.6742 0.0758 0.9559 1
Sc34 Sc 0.6742 0.0984 0.7184 1
Sc35 Sc 0.7184 0.5441 0.6199 1
Sc36 Sc 0.7184 0.6742 0.0984 1
Sc37 Sc 0.7816 0.4016 0.8258 1
Sc38 Sc 0.7816 0.8801 0.9559 1
Sc39 Sc 0.8258 0.5441 0.4242 1
Sc40 Sc 0.8258 0.7816 0.4016 1
Sc41 Sc 0.8801 0.4242 0.0984 1
Sc42 Sc 0.8801 0.9559 0.7816 1
Sc43 Sc 0.9016 0.1199 0.5758 1
Sc44 Sc 0.9016 0.2816 0.3258 1
Sc45 Sc 0.9242 0.0441 0.3258 1
Sc46 Sc 0.9242 0.3801 0.5984 1
Sc47 Sc 0.9559 0.6742 0.0758 1
Sc48 Sc 0.9559 0.7816 0.8801 1
Fe1 Fe 0.1250 0.2500 0.3750 1
Fe2 Fe 0.1250 0.3750 0.7500 1
Fe3 Fe 0.2500 0.3750 0.1250 1
Fe4 Fe 0.2500 0.8750 0.6250 1
Fe5 Fe 0.3750 0.1250 0.2500 1
Fe6 Fe 0.3750 0.7500 0.1250 1
Fe7 Fe 0.6250 0.2500 0.8750 1
Fe8 Fe 0.6250 0.8750 0.7500 1
Fe9 Fe 0.7500 0.1250 0.3750 1
Fe10 Fe 0.7500 0.6250 0.8750 1
Fe11 Fe 0.8750 0.6250 0.2500 1
Fe12 Fe 0.8750 0.7500 0.6250 1
Os1 Os 0.0000 0.0000 0.0000 1
Os2 Os 0.0000 0.0000 0.5000 1
Os3 Os 0.0000 0.5000 0.0000 1
Os4 Os 0.0000 0.5000 0.5000 1
Os5 Os 0.1250 0.7500 0.8750 1
Os6 Os 0.1250 0.8750 0.2500 1
Os7 Os 0.2500 0.1250 0.8750 1
Os8 Os 0.2500 0.6250 0.3750 1
Os9 Os 0.3750 0.2500 0.6250 1
Os10 Os 0.3750 0.6250 0.7500 1
Os11 Os 0.5000 0.0000 0.0000 1
Os12 Os 0.5000 0.0000 0.5000 1
Os13 Os 0.5000 0.5000 0.0000 1
Os14 Os 0.5000 0.5000 0.5000 1
Os15 Os 0.6250 0.3750 0.2500 1
Os16 Os 0.6250 0.7500 0.3750 1
Os17 Os 0.7500 0.3750 0.6250 1
Os18 Os 0.7500 0.8750 0.1250 1
Os19 Os 0.8750 0.1250 0.7500 1
Os20 Os 0.8750 0.2500 0.1250 1
```

---

[4]
Pu2AgHg | PBE | optimized geometry

Summary:
Calculated formation energy (eV per atom): -0.029
Space-group type: P4/mmm
N(E_F) (states/eV per atom): 2.852
Raw total energy (eV per atom): -7.984

Structure (CIF):
```
data_Pu2AgHg
_symmetry_space_group_name_H-M 'P 1'
_symmetry_Int_Tables_number 1
_symmetry_space_group_name_Hall 'P 1'
_cell_length_a 4.4449
_cell_length_b 4.4449
_cell_length_c 4.8035
_cell_angle_alpha 90.00
_cell_angle_beta 90.00
_cell_angle_gamma 90.00
loop_
_atom_site_label
_atom_site_type_symbol
_atom_site_fract_x
_atom_site_fract_y
_atom_site_fract_z
_atom_site_occupancy
Pu1 Pu 0.0000 0.5000 0.0000 1
Pu2 Pu 0.5000 0.0000 0.0000 1
Ag1 Ag 0.0000 0.0000 0.5000 1
Hg1 Hg 0.5000 0.5000 0.5000 1
```

---

[5]
Cs3IrO3 | PBE | optimized geometry

Summary:
Space-group type: Cmcm
ΔE to the lowest computed polymorph (meV/atom): 0
N(E_F) (states/eV per atom): 0.004
Raw total energy (eV per atom): -4.815

Structure (CIF):
```
data_Cs3IrO3
_symmetry_space_group_name_H-M 'P 1'
_symmetry_Int_Tables_number 1
_symmetry_space_group_name_Hall 'P 1'
_cell_length_a 8.7543
_cell_length_b 8.7543
_cell_length_c 6.1180
_cell_angle_alpha 90.00
_cell_angle_beta 90.00
_cell_angle_gamma 119.88
loop_
_atom_site_label
_atom_site_type_symbol
_atom_site_fract_x
_atom_site_fract_y
_atom_site_fract_z
_atom_site_occupancy
Cs1 Cs 0.1825 0.8175 0.7500 1
Cs2 Cs 0.1835 0.3663 0.7500 1
Cs3 Cs 0.3663 0.1835 0.2500 1
Cs4 Cs 0.6337 0.8165 0.7500 1
Cs5 Cs 0.8165 0.6337 0.2500 1
Cs6 Cs 0.8175 0.1825 0.2500 1
Ir1 Ir 0.3331 0.6669 0.2500 1
Ir2 Ir 0.6669 0.3331 0.7500 1
O1 O 0.2103 0.4203 0.2500 1
O2 O 0.2095 0.7905 0.2500 1
O3 O 0.4203 0.2103 0.7500 1
O4 O 0.5797 0.7897 0.2500 1
O5 O 0.7905 0.2095 0.7500 1
O6 O 0.7897 0.5797 0.7500 1
```

---

[6]
MnZnReTe2 | PBE | optimized geometry

Summary:
Space-group type: P4/mmm
N(E_F) (states/eV per atom): 1.028
Raw total energy (eV per atom): -4.942

Structure (CIF):
```
data_MnZnReTe2
_symmetry_space_group_name_H-M 'P 1'
_symmetry_Int_Tables_number 1
_symmetry_space_group_name_Hall 'P 1'
_cell_length_a 5.2444
_cell_length_b 5.2444
_cell_length_c 4.8837
_cell_angle_alpha 90.00
_cell_angle_beta 90.00
_cell_angle_gamma 90.00
loop_
_atom_site_label
_atom_site_type_symbol
_atom_site_fract_x
_atom_site_fract_y
_atom_site_fract_z
_atom_site_occupancy
Mn1 Mn 0.0000 0.0000 0.0000 1
Zn1 Zn 0.5000 0.5000 0.0000 1
Re1 Re 0.5000 0.5000 0.5000 1
Te1 Te 0.0000 0.5000 0.5000 1
Te2 Te 0.5000 0.0000 0.5000 1
```

---

[7]
ZnCr2Cu | PBE | optimized geometry

Summary:
Calculated formation energy (eV per atom): 0.243
Space-group type: C2/m
N(E_F) (states/eV per atom): 0.830
Raw total energy (eV per atom): -5.912

Structure (CIF):
```
data_ZnCr2Cu
_symmetry_space_group_name_H-M 'P 1'
_symmetry_Int_Tables_number 1
_symmetry_space_group_name_Hall 'P 1'
_cell_length_a 4.8451
_cell_length_b 8.2158
_cell_length_c 2.4504
_cell_angle_alpha 90.00
_cell_angle_beta 93.58
_cell_angle_gamma 90.00
loop_
_atom_site_label
_atom_site_type_symbol
_atom_site_fract_x
_atom_site_fract_y
_atom_site_fract_z
_atom_site_occupancy
Zn1 Zn 0.0000 0.0000 0.0000 1
Zn2 Zn 0.5000 0.5000 0.0000 1
Cr1 Cr 0.2500 0.2500 0.5000 1
Cr2 Cr 0.2500 0.7500 0.5000 1
Cr3 Cr 0.7500 0.2500 0.5000 1
Cr4 Cr 0.7500 0.7500 0.5000 1
Cu1 Cu 0.0000 0.5000 0.0000 1
Cu2 Cu 0.5000 0.0000 0.0000 1
```

---

[8]
UInTe2 | PBE | optimized geometry

Summary:
Space-group type: R3m
N(E_F) (states/eV per atom): 0.924
Raw total energy (eV per atom): -5.509

Structure (CIF):
```
data_UInTe2
_symmetry_space_group_name_H-M 'P 1'
_symmetry_Int_Tables_number 1
_symmetry_space_group_name_Hall 'P 1'
_cell_length_a 4.2371
_cell_length_b 4.2371
_cell_length_c 25.9579
_cell_angle_alpha 90.00
_cell_angle_beta 90.00
_cell_angle_gamma 120.00
loop_
_atom_site_label
_atom_site_type_symbol
_atom_site_fract_x
_atom_site_fract_y
_atom_site_fract_z
_atom_site_occupancy
U1 U 0.0000 0.0000 0.0000 1
U2 U 0.3333 0.6667 0.6667 1
U3 U 0.6667 0.3333 0.3333 1
In1 In 0.0000 0.0000 0.1672 1
In2 In 0.3333 0.6667 0.8339 1
In3 In 0.6667 0.3333 0.5006 1
Te1 Te 0.0000 0.0000 0.4073 1
Te2 Te 0.0000 0.0000 0.5931 1
Te3 Te 0.3333 0.6667 0.0739 1
Te4 Te 0.3333 0.6667 0.2598 1
Te5 Te 0.6667 0.3333 0.7406 1
Te6 Te 0.6667 0.3333 0.9264 1
```